An optimized crystal structure of YMn2Te. Source: Alexandria via LeMat-Bulk, functional PBE.

Formation energy (no corrections), meV per atom: -19
Total energy, eV/atom: -7.005

abc: 4.155 3.746 5.898
angles: 73.04 90.00 90.00
Each line ends with the local moment (μB).
Fractional coordinates of all 4 atoms:
Y (0.500, 0.720, 0.710)  -0.19
Mn (0.000, 0.015, 0.080)  3.75
Mn (0.500, 0.452, 0.206)  3.40
Te (0.000, 0.313, 0.505)  0.01